[1]
This record from the Alexandria database describes a geometry-optimized Li6Ac3Zn5 structure. The functional is PBE.

Properties
DOS at the Fermi energy: 0.759 states/eV/atom
Final energy: -2.283 eV per atom
Space group: Immm

a b c (Å): 4.881 8.633 8.633
angles (deg): 67.26 73.58 73.58
Sites, in units of the cell vectors:
Li (0.500, 0.674, 0.326)
Li (0.500, 0.326, 0.674)
Li (0.864, 0.429, 0.842)
Li (0.136, 0.571, 0.158)
Li (0.864, 0.842, 0.429)
Li (0.136, 0.158, 0.571)
Ac (0.000, 0.000, 0.000)
Ac (0.717, 0.283, 0.283)
Ac (0.283, 0.717, 0.717)
Zn (0.654, 0.700, 0.992)
Zn (0.346, 0.300, 0.008)
Zn (0.654, 0.992, 0.700)
Zn (0.346, 0.008, 0.300)
Zn (0.000, 0.500, 0.500)

[2]
This record from the Alexandria database describes a geometry-optimized LaZrAs2 structure. The functional is PBE.

Properties
DOS at the Fermi energy: 0.653 states/eV/atom
Offset from the most stable computed form: 481 meV/atom
Space group: C2/m

a b c (Å): 7.409 5.235 3.422
angles (deg): 82.28 74.22 128.23
Sites, in units of the cell vectors:
As (0.000, 0.000, 0.000)
As (0.500, 0.000, 0.500)
Zr (0.500, 0.500, 0.000)
La (0.000, 0.500, 0.500)

[3]
This record from the Alexandria database describes a geometry-optimized AlInAg2 structure. The functional is PBE.

Properties
DOS at the Fermi energy: 0.303 states/eV/atom
Final energy: -3.007 eV per atom
Space group: Pmmm

a b c (Å): 3.025 3.844 6.604
angles (deg): 90.00 90.00 90.00
Sites, in units of the cell vectors:
Al (0.500, 0.500, 0.250)
Ag (0.000, 0.000, 0.031)
Ag (0.000, 0.000, 0.469)
In (0.500, 0.500, 0.750)

[4]
This record from the Alexandria database describes a geometry-optimized Pa2GeTe6 structure. The functional is PBE.

Properties
E_form (uncorrected): -574.2 meV per atom
Space group: P2_1/c

a b c (Å): 7.120 7.608 10.632
angles (deg): 90.00 97.14 90.00
Sites, in units of the cell vectors:
Pa (0.940, 0.375, 0.776)
Pa (0.560, 0.875, 0.724)
Pa (0.440, 0.125, 0.276)
Pa (0.060, 0.625, 0.224)
Ge (0.500, 0.500, 0.000)
Ge (0.000, 0.000, 0.500)
Te (0.813, 0.940, 0.245)
Te (0.826, 0.666, 0.581)
Te (0.836, 0.687, 0.940)
Te (0.664, 0.187, 0.560)
Te (0.674, 0.166, 0.919)
Te (0.687, 0.440, 0.255)
Te (0.187, 0.060, 0.755)
Te (0.174, 0.334, 0.419)
Te (0.164, 0.313, 0.060)
Te (0.336, 0.813, 0.440)
Te (0.326, 0.834, 0.081)
Te (0.313, 0.560, 0.745)

[5]
This record from the Alexandria database describes a geometry-optimized MgZrZn2 structure. The functional is PBE.

Properties
DOS at the Fermi energy: 0.557 states/eV/atom
Final energy: -3.332 eV per atom
Space group: Pm

a b c (Å): 4.329 3.092 5.710
angles (deg): 74.38 90.00 90.00
Sites, in units of the cell vectors:
Zn (0.000, 0.192, 0.986)
Zn (0.500, 0.060, 0.255)
Mg (0.500, 0.788, 0.800)
Zr (0.000, 0.459, 0.459)

[6]
This record from the Alexandria database describes a geometry-optimized Ge5Te8As2 structure. The functional is PBE.

Properties
E_form (uncorrected): -11.8 meV per atom
DOS at the Fermi energy: 0.384 states/eV/atom
Offset from the most stable computed form: 40 meV/atom
Space group: C2/m

a b c (Å): 7.251 7.251 11.950
angles (deg): 65.48 65.48 48.55
Sites, in units of the cell vectors:
Ge (0.000, 0.000, 0.000)
Ge (0.248, 0.248, 0.113)
Ge (0.489, 0.489, 0.261)
Ge (0.752, 0.752, 0.887)
Ge (0.511, 0.511, 0.739)
Te (0.749, 0.749, 0.125)
Te (0.995, 0.995, 0.250)
Te (0.500, 0.500, 0.500)
Te (0.243, 0.243, 0.385)
Te (0.005, 0.005, 0.750)
Te (0.757, 0.757, 0.615)
Te (0.500, 0.500, 0.000)
Te (0.251, 0.251, 0.875)
As (0.748, 0.748, 0.390)
As (0.252, 0.252, 0.610)